#A
A relaxed Er7Zn2Te2 crystal, computed with PBE.

```
Er7Zn2Te2
1.0
-2.618 2.924 0.264
-6.877 -3.032 -5.303
-6.747 -3.841 4.932
Te Er Zn
2 7 2
Direct
0.722 0.868 0.688
0.278 0.312 0.132
0.384 0.726 0.506
0.813 0.056 0.318
0.616 0.494 0.274
0.123 0.152 0.602
0.877 0.398 0.848
0.187 0.682 0.944
0.500 0.013 0.987
0.500 0.378 0.622
0.000 0.775 0.225
```

Spin magnetization: 0.00 μB/cell
D(E_F): 11.71 states/eV/cell

***

#B
A relaxed Er7Zn2Te2 crystal, computed with PBE.

```
Er7Zn2Te2
1.0
-1.137 -2.383 -3.156
7.691 -4.636 -1.952
0.831 -8.487 3.426
Er Te Zn
7 2 2
Direct
0.370 0.737 0.522
0.500 0.015 0.985
0.141 0.122 0.597
0.185 0.714 0.917
0.815 0.083 0.286
0.630 0.478 0.263
0.859 0.403 0.878
0.000 0.752 0.248
0.500 0.358 0.642
0.267 0.329 0.137
0.733 0.863 0.671
```

Spin magnetization: 0.00 μB/cell
D(E_F): 9.52 states/eV/cell

***

Least stable of them? #A.

***

#A
A relaxed Er3ZnTe crystal, computed with PBE.

```
Er3ZnTe
1.0
-1.330 3.522 -1.244
-5.563 -2.429 -0.928
-0.669 1.418 11.048
Te Er Zn
2 6 2
Direct
0.587 0.542 0.174
0.413 0.458 0.826
0.999 0.244 0.998
0.195 0.596 0.391
0.371 0.937 0.742
0.629 0.063 0.258
0.805 0.404 0.609
0.001 0.756 0.002
0.769 0.885 0.538
0.231 0.115 0.462
```

Spin magnetization: 0.01 μB/cell
D(E_F): 8.94 states/eV/cell

***

#B
A relaxed Er3ZnTe crystal, computed with PBE.

```
Er3ZnTe
1.0
4.637 0.000 0.000
-2.319 8.513 0.799
0.000 -0.740 6.422
Er Te Zn
6 2 2
Direct
0.208 0.415 0.645
0.384 0.767 0.007
0.792 0.585 0.355
0.993 0.987 0.746
0.616 0.233 0.993
0.007 0.013 0.254
0.603 0.206 0.491
0.397 0.794 0.509
0.215 0.429 0.114
0.785 0.571 0.886
```

Spin magnetization: 0.00 μB/cell
D(E_F): 8.16 states/eV/cell

***

Least stable of them? #B.

***

#A
A relaxed ErZrTe2 crystal, computed with PBE.

```
ErZrTe2
1.0
3.644 0.000 0.000
0.000 3.644 0.000
0.000 0.000 7.350
Te Zr Er
2 1 1
Direct
0.000 0.000 0.763
0.000 0.000 0.237
0.500 0.500 0.000
0.500 0.500 0.500
```

Spin magnetization: 0.00 μB/cell
D(E_F): 2.85 states/eV/cell

***

#B
A relaxed ErZrTe2 crystal, computed with PBE.

```
ErZrTe2
1.0
-3.584 6.106 -1.448
-1.439 -1.620 -3.268
-6.231 -2.692 4.078
Te Zr Er
4 2 2
Direct
0.158 0.233 0.995
0.162 0.233 0.469
0.740 0.733 0.747
0.744 0.733 0.221
0.577 0.233 0.987
0.325 0.733 0.229
0.304 0.733 0.735
0.598 0.233 0.481
```

Spin magnetization: 0.00 μB/cell
D(E_F): 1.75 states/eV/cell

***

#C
A relaxed ErZrTe2 crystal, computed with PBE.

```
ErZrTe2
1.0
-2.630 -2.837 0.397
-0.119 -2.097 3.273
-7.208 4.726 5.078
Te Zr Er
2 1 1
Direct
0.897 0.897 0.309
0.103 0.103 0.691
0.500 0.500 0.500
0.000 0.000 0.000
```

Spin magnetization: 0.00 μB/cell
D(E_F): 3.21 states/eV/cell

***

Least stable of them? #C.

***

#A
A relaxed ErZrTe4 crystal, computed with PBE.

```
ErZrTe4
1.0
-0.285 -3.344 2.306
4.186 2.808 4.591
-5.688 2.801 3.360
Zr Te Er
1 4 1
Direct
0.500 0.000 0.500
0.000 0.261 0.345
0.500 0.734 0.179
0.500 0.266 0.821
0.000 0.739 0.655
0.000 0.000 0.000
```

Spin magnetization: 0.00 μB/cell
D(E_F): 3.21 states/eV/cell

***

#B
A relaxed ErZrTe4 crystal, computed with PBE.

```
ErZrTe4
1.0
-1.584 2.205 6.761
-6.892 -2.357 -0.846
1.869 -6.453 2.756
Te Er Zr
8 2 2
Direct
0.882 0.129 0.360
0.118 0.871 0.640
0.846 0.646 0.129
0.382 0.371 0.360
0.346 0.854 0.129
0.654 0.146 0.871
0.154 0.354 0.871
0.618 0.629 0.640
0.500 0.000 0.500
0.000 0.500 0.500
0.000 0.000 0.000
0.500 0.500 0.000
```

Spin magnetization: 0.00 μB/cell
D(E_F): 8.29 states/eV/cell

***

Least stable of them? #B.

***

#A
A relaxed Er5Th crystal, computed with PBE.

```
Er5Th
1.0
3.587 0.000 0.000
-1.794 6.155 -1.859
0.000 0.488 8.359
Th Er
1 5
Direct
0.719 0.438 0.938
0.058 0.116 0.613
0.388 0.776 0.278
0.001 0.001 0.005
0.335 0.671 0.667
0.666 0.333 0.332
```

Spin magnetization: 0.00 μB/cell
D(E_F): 10.71 states/eV/cell

***

#B
A relaxed Er5Th crystal, computed with PBE.

```
Er5Th
1.0
5.000 0.000 0.000
0.000 4.985 0.000
0.000 -2.492 7.453
Er Th
5 1
Direct
0.500 0.500 0.000
0.000 0.334 0.667
0.000 0.666 0.333
0.500 0.836 0.671
0.500 0.164 0.329
0.000 0.000 0.000
```

Spin magnetization: 0.00 μB/cell
D(E_F): 9.71 states/eV/cell

***

Least stable of them? #B.

***

#A
A relaxed ErTh4 crystal, computed with PBE.

```
ErTh4
1.0
3.519 -0.001 0.560
1.708 3.076 0.560
-0.559 -0.329 14.613
Er Th
1 4
Direct
0.000 0.000 0.000
0.800 0.800 0.601
0.601 0.601 0.201
0.200 0.200 0.399
0.399 0.399 0.799
```

Spin magnetization: 0.00 μB/cell
D(E_F): 8.19 states/eV/cell

***

#B
A relaxed ErTh4 crystal, computed with PBE.

```
ErTh4
1.0
-2.498 0.170 2.577
3.395 -1.393 3.384
1.617 9.142 -1.540
Th Er
4 1
Direct
0.199 0.199 0.399
0.601 0.601 0.202
0.801 0.801 0.601
0.399 0.399 0.798
0.000 0.000 0.000
```

Spin magnetization: 0.00 μB/cell
D(E_F): 7.53 states/eV/cell

***

Least stable of them? #B.

***

#A
A relaxed Er3Th crystal, computed with PBE.

```
Er3Th
1.0
-3.580 0.448 4.312
-5.322 -1.721 -0.574
-1.766 -4.617 2.679
Er Th
3 1
Direct
0.000 0.000 0.000
0.250 0.250 0.250
0.750 0.750 0.750
0.500 0.500 0.500
```

Spin magnetization: 0.00 μB/cell
D(E_F): 8.18 states/eV/cell

***

#B
A relaxed Er3Th crystal, computed with PBE.

```
Er3Th
1.0
5.692 0.000 0.000
0.000 7.095 -0.845
0.000 -2.817 6.567
Er Th
6 2
Direct
0.250 0.833 0.167
0.750 0.665 0.833
0.250 0.335 0.167
0.750 0.167 0.833
0.750 0.167 0.335
0.250 0.833 0.665
0.750 0.667 0.333
0.250 0.333 0.667
```

Spin magnetization: 0.00 μB/cell
D(E_F): 12.32 states/eV/cell

***

#C
A relaxed Er3Th crystal, computed with PBE.

```
Er3Th
1.0
3.569 0.000 0.000
-1.785 3.091 0.000
0.000 0.000 11.367
Er Th
3 1
Direct
0.000 0.000 0.754
0.333 0.667 0.000
0.000 0.000 0.246
0.333 0.667 0.500
```

Spin magnetization: 0.01 μB/cell
D(E_F): 8.15 states/eV/cell

***

Least stable of them? #A.

***

#A
A relaxed Er3Th crystal, computed with PBE.

```
Er3Th
1.0
-1.880 3.029 0.424
-3.105 -1.201 -5.193
-1.399 -3.746 5.367
Er Th
3 1
Direct
0.752 0.090 0.503
0.500 0.504 0.000
0.248 0.586 0.497
0.000 0.987 0.000
```

Spin magnetization: 0.00 μB/cell
D(E_F): 6.31 states/eV/cell

***

#B
A relaxed Er3Th crystal, computed with PBE.

```
Er3Th
1.0
-0.764 -0.446 -4.905
3.847 -3.153 -0.313
-3.075 -3.834 0.827
Th Er
1 3
Direct
0.000 0.000 0.000
0.500 0.000 0.500
0.000 0.500 0.500
0.500 0.500 0.000
```

Spin magnetization: 0.00 μB/cell
D(E_F): 6.53 states/eV/cell

***

Least stable of them? #B.